4
Lattice="5.079 0.000 0.000 0.000 5.005 0.000 -0.059 0.000 7.171" Properties=species:S:1:pos:R:3 comment="GGA-PBE CsTlBr2, relaxed" dos_at_fermi_per_ev_cell=0.0 e_form_raw_ev_per_fu=-5.24 pbc="T T T"
Cs 0.000 0.000 0.000
Tl 2.522 2.502 3.672
Br 2.480 2.502 6.833
Br 4.667 0.000 3.580


5
Lattice="4.358 0.000 0.000 0.000 4.358 0.000 0.000 0.000 4.358" Properties=species:S:1:pos:R:3 comment="GGA-PBE SrBeOs3, relaxed" e_above_lowest_polymorph_mev_per_atom=0 e_form_ev_per_atom=0.939 dos_at_fermi_per_ev_cell=5.7 pbc="T T T"
Sr 0.000 0.000 0.000
Be 2.179 2.179 2.179
Os 0.000 2.179 2.179
Os 2.179 0.000 2.179
Os 2.179 2.179 0.000


5
Lattice="5.063 0.000 0.000 0.000 5.063 0.000 0.000 0.000 5.063" Properties=species:S:1:pos:R:3 comment="GGA-PBE LaBeSb3, relaxed" e_above_lowest_polymorph_mev_per_atom=0 dos_at_fermi_per_ev_cell=3.3 e_form_raw_ev_per_fu=-0.73 pbc="T T T"
La 0.000 0.000 0.000
Be 2.532 2.532 2.532
Sb 0.000 2.532 2.532
Sb 2.532 0.000 2.532
Sb 2.532 2.532 0.000


4
Lattice="1.746 1.008 10.788 -1.746 1.008 10.788 0.000 -2.016 10.788" Properties=species:S:1:pos:R:3 comment="GGA-PBE NdLu2Si, relaxed" dos_at_fermi_per_ev_cell=4.1 e_form_raw_ev_per_fu=-0.05 pbc="T T T"
Nd 0.000 0.000 0.000
Lu 0.000 0.000 3.450
Lu 0.000 0.000 28.915
Si 0.000 0.000 16.183


10
Lattice="4.410 0.000 0.000 0.000 4.410 0.000 0.000 0.000 10.005" Properties=species:S:1:pos:R:3 comment="GGA-PBE Pm2As4IrPt3, relaxed" e_form_ev_per_atom=-0.803 dos_at_fermi_per_ev_cell=3.6 pbc="T T T"
Pm 0.000 2.205 2.473
Pm 2.205 0.000 7.532
As 0.000 0.000 5.003
As 0.000 2.205 8.708
As 2.205 0.000 1.298
As 2.205 2.205 5.003
Ir 2.205 2.205 0.000
Pt 0.000 0.000 0.000
Pt 0.000 2.205 6.249
Pt 2.205 0.000 3.756


9
Lattice="4.699 -2.713 0.000 4.699 2.713 0.000 -0.004 0.000 10.695" Properties=species:S:1:pos:R:3 comment="GGA-PBE Nd3Sm2Tl4, relaxed" e_above_lowest_polymorph_mev_per_atom=0 e_form_ev_per_atom=-0.318 dos_at_fermi_per_ev_cell=9.5 pbc="T T T"
Nd 0.000 0.000 0.000
Nd 3.129 0.000 6.179
Nd 6.265 0.000 4.516
Sm 3.128 0.000 2.356
Sm 6.266 0.000 8.338
Tl 9.394 0.000 3.701
Tl 0.000 0.000 6.993
Tl 3.124 0.000 9.606
Tl 6.270 0.000 1.089


18
Lattice="2.943 -10.535 0.000 2.943 10.535 0.000 0.000 0.000 11.056" Properties=species:S:1:pos:R:3 comment="GGA-PBE Ac2PmPr5Y, relaxed" e_form_ev_per_atom=0.127 dos_at_fermi_per_ev_cell=25.8 pbc="T T T"
Ac 2.943 8.168 5.528
Ac 2.943 8.045 0.933
Ac 2.943 -8.045 6.461
Ac 2.943 -8.168 0.000
Pm 2.943 6.173 8.551
Pm 2.943 -6.173 3.023
Pr 2.943 10.148 8.723
Pr 2.943 4.604 0.824
Pr 2.943 4.340 5.151
Pr 2.943 2.267 8.736
Pr 2.943 0.376 5.647
Pr 2.943 -0.376 0.119
Pr 2.943 -2.267 3.208
Pr 2.943 -4.340 10.679
Pr 2.943 -4.604 6.352
Pr 2.943 -10.148 3.195
Y 2.943 1.960 2.585
Y 2.943 -1.960 8.113


11
Lattice="4.149 -6.076 0.000 4.149 6.076 0.000 0.000 0.000 7.353" Properties=species:S:1:pos:R:3 comment="GGA-PBE Ac7Ni2Ge2, relaxed" e_form_ev_per_atom=-0.183 dos_at_fermi_per_ev_cell=13.0 pbc="T T T"
Ac 0.000 0.000 0.000
Ac 2.075 3.038 1.910
Ac 2.075 3.038 5.443
Ac 2.075 -3.038 1.910
Ac 2.075 -3.038 5.443
Ac 4.149 0.000 1.823
Ac 4.149 0.000 5.530
Ni 4.149 2.490 0.000
Ni 4.149 -2.490 0.000
Ge 1.307 0.000 3.677
Ge 6.992 0.000 3.677


4
Lattice="1.915 1.106 8.980 -1.915 1.106 8.980 0.000 -2.212 8.980" Properties=species:S:1:pos:R:3 comment="GGA-PBE Ce2SmTc, relaxed" e_above_lowest_polymorph_mev_per_atom=149 e_form_ev_per_atom=0.134 dos_at_fermi_per_ev_cell=7.5 pbc="T T T"
Ce 0.000 0.000 6.091
Ce 0.000 0.000 20.850
Sm 0.000 0.000 0.000
Tc 0.000 0.000 13.470


4
Lattice="2.279 1.316 7.839 -2.279 1.316 7.839 0.000 -2.632 7.839" Properties=species:S:1:pos:R:3 comment="GGA-PBE CeNdBi2, relaxed" e_above_lowest_polymorph_mev_per_atom=109 e_form_ev_per_atom=-0.766 dos_at_fermi_per_ev_cell=6.6 pbc="T T T"
Ce 0.000 0.000 0.000
Nd 0.000 0.000 19.483
Bi 0.000 0.000 9.697
Bi 0.000 0.000 13.710


12
Lattice="6.229 0.000 0.000 -3.115 5.395 0.000 0.000 0.000 5.801" Properties=species:S:1:pos:R:3 comment="GGA-PBE PaTl2PtO8, relaxed" dos_at_fermi_per_ev_cell=9.6 e_form_raw_ev_per_fu=-12.04 pbc="T T T"
Pa 0.000 0.000 0.000
Tl 0.000 3.597 3.224
Tl 3.115 1.798 2.577
Pt 0.000 0.000 2.900
O 0.000 1.557 4.223
O -1.766 4.616 4.223
O 1.348 0.779 1.578
O 0.000 3.597 1.177
O 3.115 1.798 4.623
O 1.766 4.616 4.223
O 4.881 0.779 1.578
O 3.115 3.838 1.578


8
Lattice="3.450 0.000 0.000 0.000 3.450 0.000 0.000 0.000 16.870" Properties=species:S:1:pos:R:3 comment="GGA-PBE LiTh3Hg4, relaxed" e_form_ev_per_atom=-0.255 dos_at_fermi_per_ev_cell=6.6 pbc="T T T"
Li 0.000 0.000 0.000
Th 0.000 0.000 3.844
Th 0.000 0.000 8.435
Th 0.000 0.000 13.026
Hg 1.725 1.725 1.567
Hg 1.725 1.725 6.141
Hg 1.725 1.725 10.729
Hg 1.725 1.725 15.303